No. 1
Density functional theory data (GGA-PBE) for an optimized crystal structure of Sm2Ga3Co.

abc: 5.6657 5.6657 7.2223
angles: 128.33 128.33 44.73
Fractional coordinates of all 6 atoms:
Sm 0.0000 0.0000 0.0000
Sm 0.0997 0.0997 0.6020
Ga 0.3805 0.3805 0.2134
Ga 0.6967 0.6967 0.9895
Ga 0.7296 0.7296 0.4225
Co 0.3893 0.3893 0.5985

No. 2
Density functional theory data (GGA-PBE) for an optimized crystal structure of Sm2Ga6Co.

abc: 6.1841 6.1841 6.1841
angles: 60.00 60.00 60.00
Fractional coordinates of all 9 atoms:
Sm 0.2500 0.2500 0.2500
Sm 0.7500 0.7500 0.7500
Ga 0.2233 0.2233 0.7767
Ga 0.2233 0.7767 0.2233
Ga 0.2233 0.7767 0.7767
Ga 0.7767 0.2233 0.2233
Ga 0.7767 0.2233 0.7767
Ga 0.7767 0.7767 0.2233
Co 0.5000 0.5000 0.5000

No. 3
Density functional theory data (GGA-PBE) for an optimized crystal structure of Sm8Ga3Co.

abc: 10.2813 10.2813 7.0266
angles: 90.00 90.00 120.00
Fractional coordinates of all 24 atoms:
Sm 0.0000 0.0000 0.0957
Sm 0.0000 0.0000 0.5957
Sm 0.0755 0.5378 0.1172
Sm 0.1715 0.3431 0.8144
Sm 0.1715 0.8285 0.8144
Sm 0.3333 0.6667 0.5000
Sm 0.3431 0.1715 0.3144
Sm 0.4622 0.5378 0.1172
Sm 0.4622 0.9245 0.1172
Sm 0.5378 0.0755 0.6172
Sm 0.5378 0.4622 0.6172
Sm 0.6569 0.8285 0.8144
Sm 0.6667 0.3333 0.0000
Sm 0.8285 0.1715 0.3144
Sm 0.8285 0.6569 0.3144
Sm 0.9245 0.4622 0.6172
Ga 0.1638 0.3276 0.3647
Ga 0.1638 0.8362 0.3647
Ga 0.3276 0.1638 0.8647
Ga 0.6724 0.8362 0.3647
Ga 0.8362 0.1638 0.8647
Ga 0.8362 0.6724 0.8647
Co 0.3333 0.6667 0.8816
Co 0.6667 0.3333 0.3816

No. 4
Density functional theory data (GGA-PBE) for an optimized crystal structure of Sm7Ga2Co2.

abc: 6.7709 6.7709 6.9169
angles: 90.00 90.00 110.13
Fractional coordinates of all 11 atoms:
Sm 0.0000 0.0000 0.0000
Sm 0.0000 0.5000 0.2537
Sm 0.0000 0.5000 0.7463
Sm 0.5000 0.0000 0.2537
Sm 0.5000 0.0000 0.7463
Sm 0.5000 0.5000 0.2491
Sm 0.5000 0.5000 0.7509
Ga 0.1633 0.1633 0.5000
Ga 0.8367 0.8367 0.5000
Co 0.2980 0.7020 0.0000
Co 0.7020 0.2980 0.0000

No. 5
Density functional theory data (GGA-PBE) for an optimized crystal structure of Sm3Ga4Co2.

abc: 5.7117 5.7117 8.1491
angles: 102.96 102.96 44.73
Fractional coordinates of all 9 atoms:
Sm 0.0000 0.0000 0.0000
Sm 0.3811 0.3811 0.3072
Sm 0.6189 0.6189 0.6928
Ga 0.1056 0.1056 0.4066
Ga 0.2824 0.2824 0.9148
Ga 0.7176 0.7176 0.0852
Ga 0.8944 0.8944 0.5934
Co 0.3101 0.3101 0.6289
Co 0.6899 0.6899 0.3711

No. 6
Density functional theory data (GGA-PBE) for an optimized crystal structure of SmGaCo2.

abc: 5.2437 5.2437 16.4364
angles: 90.00 90.00 120.00
Fractional coordinates of all 24 atoms:
Sm 0.3333 0.6667 0.0319
Sm 0.3333 0.6667 0.2567
Sm 0.3333 0.6667 0.4608
Sm 0.6667 0.3333 0.5392
Sm 0.6667 0.3333 0.7433
Sm 0.6667 0.3333 0.9681
Ga 0.1655 0.3311 0.8639
Ga 0.1655 0.8345 0.8639
Ga 0.3311 0.1655 0.1361
Ga 0.6689 0.8345 0.8639
Ga 0.8345 0.1655 0.1361
Ga 0.8345 0.6689 0.1361
Co 0.0000 0.0000 0.0000
Co 0.0000 0.0000 0.2619
Co 0.0000 0.0000 0.5000
Co 0.0000 0.0000 0.7381
Co 0.1645 0.3289 0.6238
Co 0.1645 0.8355 0.6238
Co 0.3289 0.1645 0.3762
Co 0.3333 0.6667 0.7352
Co 0.6667 0.3333 0.2648
Co 0.6711 0.8355 0.6238
Co 0.8355 0.1645 0.3762
Co 0.8355 0.6711 0.3762

No. 7
Density functional theory data (GGA-PBE) for an optimized crystal structure of Sm3GaCo3.

abc: 5.4773 5.4773 13.0929
angles: 90.00 90.00 135.29
Fractional coordinates of all 14 atoms:
Sm 0.9997 0.0003 0.2500
Sm 0.0003 0.9997 0.7500
Sm 0.2912 0.7088 0.6027
Sm 0.2912 0.7088 0.8973
Sm 0.7088 0.2912 0.1027
Sm 0.7088 0.2912 0.3973
Ga 0.0000 0.0000 0.0000
Ga 0.0000 0.0000 0.5000
Co 0.3061 0.6939 0.2500
Co 0.4195 0.5805 0.0947
Co 0.4195 0.5805 0.4053
Co 0.5805 0.4195 0.5947
Co 0.5805 0.4195 0.9053
Co 0.6939 0.3061 0.7500

No. 8
Density functional theory data (GGA-PBE) for an optimized crystal structure of SmGa4Co4.

abc: 5.5622 5.5622 8.6446
angles: 90.00 90.00 90.00
Fractional coordinates of all 18 atoms:
Sm 0.2500 0.7500 0.2500
Sm 0.7500 0.2500 0.7500
Ga 0.0270 0.2500 0.0536
Ga 0.2500 0.0270 0.5536
Ga 0.2500 0.4730 0.5536
Ga 0.4730 0.2500 0.0536
Ga 0.5270 0.7500 0.9464
Ga 0.7500 0.5270 0.4464
Ga 0.7500 0.9730 0.4464
Ga 0.9730 0.7500 0.9464
Co 0.0338 0.2500 0.3374
Co 0.2500 0.0338 0.8374
Co 0.2500 0.4662 0.8374
Co 0.4662 0.2500 0.3374
Co 0.5338 0.7500 0.6626
Co 0.7500 0.5338 0.1626
Co 0.7500 0.9662 0.1626
Co 0.9662 0.7500 0.6626

No. 9
Density functional theory data (GGA-PBE) for an optimized crystal structure of SmGa5Co.

abc: 4.2522 4.2522 6.9295
angles: 90.00 90.00 90.00
Fractional coordinates of all 7 atoms:
Sm 0.0000 0.0000 0.0000
Ga 0.0000 0.5000 0.3135
Ga 0.0000 0.5000 0.6865
Ga 0.5000 0.0000 0.3135
Ga 0.5000 0.0000 0.6865
Ga 0.5000 0.5000 0.0000
Co 0.0000 0.0000 0.5000

No. 10
Density functional theory data (GGA-PBE) for an optimized crystal structure of SmGa4Co2.

abc: 5.2824 5.2824 5.1857
angles: 119.31 119.31 76.16
Fractional coordinates of all 7 atoms:
Sm 0.0000 0.0000 0.0000
Ga 0.0001 0.3954 0.6975
Ga 0.9999 0.6046 0.3025
Ga 0.3954 0.0001 0.6975
Ga 0.6046 0.9999 0.3025
Co 0.4987 0.4987 0.2487
Co 0.5013 0.5013 0.7513

No. 11
Density functional theory data (GGA-PBE) for an optimized crystal structure of Sm3Ga2Co.

abc: 11.9859 4.1217 11.7094
angles: 90.00 90.00 90.00
Fractional coordinates of all 24 atoms:
Sm 0.0458 0.2500 0.1282
Sm 0.1160 0.7500 0.5526
Sm 0.2317 0.2500 0.7947
Sm 0.2683 0.7500 0.2947
Sm 0.3840 0.2500 0.0526
Sm 0.4542 0.7500 0.6282
Sm 0.5458 0.2500 0.3718
Sm 0.6160 0.7500 0.9474
Sm 0.7317 0.2500 0.7053
Sm 0.7683 0.7500 0.2053
Sm 0.8840 0.2500 0.4474
Sm 0.9542 0.7500 0.8718
Ga 0.0163 0.7500 0.3115
Ga 0.1940 0.7500 0.9975
Ga 0.3060 0.2500 0.4975
Ga 0.4837 0.2500 0.8115
Ga 0.5163 0.7500 0.1885
Ga 0.6940 0.7500 0.5025
Ga 0.8060 0.2500 0.0025
Ga 0.9837 0.2500 0.6885
Co 0.1303 0.2500 0.3797
Co 0.3697 0.7500 0.8797
Co 0.6303 0.2500 0.1203
Co 0.8697 0.7500 0.6203

No. 12
Density functional theory data (GGA-PBE) for an optimized crystal structure of Sm3Ga3Co2.

abc: 7.5597 14.8934 5.8251
angles: 90.00 90.00 90.00
Fractional coordinates of all 32 atoms:
Sm 0.0338 0.1059 0.1245
Sm 0.0338 0.3941 0.1245
Sm 0.1635 0.2500 0.6380
Sm 0.3365 0.7500 0.1380
Sm 0.4662 0.6059 0.6245
Sm 0.4662 0.8941 0.6245
Sm 0.5338 0.1059 0.3755
Sm 0.5338 0.3941 0.3755
Sm 0.6635 0.2500 0.8620
Sm 0.8365 0.7500 0.3620
Sm 0.9662 0.6059 0.8755
Sm 0.9662 0.8941 0.8755
Ga 0.1684 0.0409 0.6098
Ga 0.1684 0.4591 0.6098
Ga 0.1784 0.7500 0.6165
Ga 0.3216 0.2500 0.1165
Ga 0.3316 0.5409 0.1098
Ga 0.3316 0.9591 0.1098
Ga 0.6684 0.0409 0.8902
Ga 0.6684 0.4591 0.8902
Ga 0.6784 0.7500 0.8835
Ga 0.8216 0.2500 0.3835
Ga 0.8316 0.5409 0.3902
Ga 0.8316 0.9591 0.3902
Co 0.1315 0.6034 0.3914
Co 0.1315 0.8966 0.3914
Co 0.3685 0.1034 0.8914
Co 0.3685 0.3966 0.8914
Co 0.6315 0.6034 0.1086
Co 0.6315 0.8966 0.1086
Co 0.8685 0.1034 0.6086
Co 0.8685 0.3966 0.6086

What are the theoretical density values for these records? In order: 7.8, 7.7, 7.6, 7.3, 7.8, 8.6, 8.4, 8.3, 7.4, 8.3, 7.5, 7.9 Mg/m³.
What are the calculated formation energy values for these records? In order: -0.522, -0.566, -0.356, -0.177, -0.501, -0.234, -0.270, -0.281, -0.460, -0.236, -0.444, -0.460 eV per atom.